1.
Density functional theory data (GGA-PBE) for crystalline Li3MnMo2N6 at its relaxed geometry.

a b c (Å): 5.0784 5.0784 5.3859
angles (deg): 99.02 99.02 119.99
Fractional coordinates of all 12 atoms:
Li1 0.0000 0.0000 0.0000
Li2 0.3358 0.6642 0.0000
Li3 0.6642 0.3358 0.0000
Mn1 0.5000 0.5000 0.5000
Mo1 0.1667 0.8333 0.5000
Mo2 0.8333 0.1667 0.5000
N1 0.0979 0.4252 0.2755
N2 0.2474 0.2474 0.7242
N3 0.4252 0.0979 0.2755
N4 0.5748 0.9021 0.7245
N5 0.7526 0.7526 0.2758
N6 0.9021 0.5748 0.7245

Properties
* total DFT energy (no corrections): -7.62 eV per atom

***

2.
Density functional theory data (GGA-PBE) for crystalline Li4MnMo3N8 at its relaxed geometry.

a b c (Å): 6.1488 6.1488 6.1488
angles (deg): 57.40 57.40 57.40
Fractional coordinates of all 16 atoms:
Li1 0.0000 0.0000 0.0000
Li2 0.0000 0.5000 0.5000
Li3 0.5000 0.0000 0.5000
Li4 0.5000 0.5000 0.0000
Mn1 0.5000 0.5000 0.5000
Mo1 0.0000 0.0000 0.5000
Mo2 0.0000 0.5000 0.0000
Mo3 0.5000 0.0000 0.0000
N1 0.2438 0.2438 0.2438
N2 0.2441 0.7397 0.7397
N3 0.2603 0.2603 0.7559
N4 0.2603 0.7559 0.2603
N5 0.7397 0.2441 0.7397
N6 0.7397 0.7397 0.2441
N7 0.7559 0.2603 0.2603
N8 0.7562 0.7562 0.7562

Properties
* total DFT energy (no corrections): -7.66 eV per atom

***

3.
Density functional theory data (GGA-PBE) for crystalline Li2MnMoN4 at its relaxed geometry.

a b c (Å): 4.6988 4.6988 8.7133
angles (deg): 90.00 90.00 90.00
Fractional coordinates of all 16 atoms:
Li1 0.0000 0.0000 0.0000
Li2 0.0000 0.5000 0.2500
Li3 0.5000 0.0000 0.7500
Li4 0.5000 0.5000 0.5000
Mn1 0.0000 0.0000 0.5000
Mn2 0.5000 0.5000 0.0000
Mo1 0.0000 0.5000 0.7500
Mo2 0.5000 0.0000 0.2500
N1 0.1997 0.7578 0.6236
N2 0.2422 0.1997 0.3764
N3 0.2578 0.3003 0.8764
N4 0.3003 0.7422 0.1236
N5 0.6997 0.2578 0.1236
N6 0.7422 0.6997 0.8764
N7 0.7578 0.8003 0.3764
N8 0.8003 0.2422 0.6236

Properties
* total DFT energy (no corrections): -7.55 eV per atom

***

4.
Density functional theory data (GGA-PBE) for crystalline Li3Mn2MoN6 at its relaxed geometry.

a b c (Å): 5.0215 5.0215 5.3278
angles (deg): 98.98 98.98 120.02
Fractional coordinates of all 12 atoms:
Li1 0.0000 0.0000 0.0000
Li2 0.3302 0.6698 0.0000
Li3 0.6698 0.3302 0.0000
Mn1 0.1664 0.8336 0.5000
Mn2 0.8336 0.1664 0.5000
Mo1 0.5000 0.5000 0.5000
N1 0.0865 0.4277 0.2826
N2 0.2313 0.2313 0.7188
N3 0.4277 0.0865 0.2826
N4 0.5723 0.9135 0.7174
N5 0.7687 0.7687 0.2812
N6 0.9135 0.5723 0.7174

Properties
* total DFT energy (no corrections): -7.41 eV per atom

***

5.
Density functional theory data (GGA-PBE) for crystalline Li2Mn3MoN6 at its relaxed geometry.

a b c (Å): 5.0613 5.0613 4.9822
angles (deg): 99.80 99.80 119.84
Fractional coordinates of all 12 atoms:
Li1 0.1666 0.8334 0.0000
Li2 0.8334 0.1666 0.0000
Mn1 0.0000 0.0000 0.5000
Mn2 0.3320 0.6680 0.5000
Mn3 0.6680 0.3320 0.5000
Mo1 0.5000 0.5000 0.0000
N1 0.0824 0.4108 0.7353
N2 0.2617 0.2617 0.2738
N3 0.4108 0.0824 0.7353
N4 0.5892 0.9176 0.2647
N5 0.7383 0.7383 0.7262
N6 0.9176 0.5892 0.2647

Properties
* total DFT energy (no corrections): -8.09 eV per atom

***

One value per record, in order, for magnetization: 0.17, 0.19, 0.37, 0.43, 0.58 μB per atom.
One value per record, in order, for energy relative to the elements, uncorrected: -474, -634, -313, -392, -475 kJ/mol of formula units.